Record 1
An optimized crystal structure of LaHoCdRh, computed with GGA-PBE.

Results
As for the crystal system: cubic. As for the formation energy: -465 meV per atom.

abc: 5.181 5.181 5.181
angles: 60.00 60.00 60.00
Atoms (fractional coordinates):
Cd  0.750  0.750  0.750
Rh  0.250  0.250  0.250
Ho  0.500  0.500  0.500
La  0.000  0.000  0.000

---

Record 2
An optimized crystal structure of CdC3Cl, computed with GGA-PBE.

Results
As for the crystal system: cubic. Its formation energy from raw total energies is 3.490 eV per atom. The offset from the most stable computed form is 195 meV per atom.

abc: 4.431 4.431 4.431
angles: 90.00 90.00 90.00
Site moments in Bohr magnetons follow the coordinates.
Atoms (fractional coordinates):
C  0.000  0.500  0.000  0.56
C  0.000  0.000  0.500  0.50
C  0.500  0.000  0.000  0.51
Cl  0.500  0.500  0.500  0.03
Cd  0.000  0.000  0.000  0.05